A plane-wave DFT calculation with PBE was carried out for a relaxed structure of BaCaTc2N4.

```
data_BaCaTc2N4
_symmetry_space_group_name_H-M 'I 4 2 2'
_symmetry_Int_Tables_number 97
_symmetry_space_group_name_Hall 'I 4 2'
_cell_length_a 5.603
_cell_length_b 5.603
_cell_length_c 7.682
_cell_angle_alpha 90.00
_cell_angle_beta 90.00
_cell_angle_gamma 90.00
loop_
_atom_site_label
_atom_site_type_symbol
_atom_site_fract_x
_atom_site_fract_y
_atom_site_fract_z
_atom_site_occupancy
Ba1 Ba 0.000 0.000 0.000 1
Ca1 Ca 0.000 0.000 0.500 1
Tc1 Tc 0.000 0.500 0.250 1
N1 N 0.245 0.255 0.250 1
```

Properties
* energy relative to the elements, uncorrected: -0.33 eV/atom
* total DFT energy (no corrections): -121.211 eV/cell